DFT (GGA+U) results for KCaFeF6 after structural relaxation.

The density of states at the Fermi level is 0.00 states/eV/atom. Its calculated density is 2.73 Mg/m³. The calculation puts the total energy at -5.037 eV/atom.

a = 5.698 Å, b = 5.698 Å, c = 10.757 Å
α = 90.00°, β = 90.00°, γ = 120.00°
Atoms (fractional coordinates):
K: 0.000 0.000 0.000
K: 0.000 0.000 0.500
Ca: 0.667 0.333 0.250
Ca: 0.333 0.667 0.750
Fe: 0.333 0.667 0.250
Fe: 0.667 0.333 0.750
F: 0.606 0.653 0.151
F: 0.048 0.394 0.151
F: 0.394 0.048 0.651
F: 0.952 0.606 0.849
F: 0.347 0.394 0.349
F: 0.048 0.653 0.349
F: 0.653 0.048 0.849
F: 0.606 0.952 0.349
F: 0.952 0.347 0.651
F: 0.347 0.952 0.151
F: 0.653 0.606 0.651
F: 0.394 0.347 0.849